Record 1
# Tm3PbO6 (GGA-PBE, relaxed)
data_Tm3PbO6
_cell_length_a 5.776
_cell_length_b 5.961
_cell_length_c 10.151
_cell_angle_alpha 90.00
_cell_angle_beta 124.21
_cell_angle_gamma 90.00
_symmetry_space_group_name_H-M 'P 1 21/c 1'
_symmetry_Int_Tables_number 14
_symmetry_space_group_name_Hall '-P 2ybc'
loop_
_atom_site_label
_atom_site_type_symbol
_atom_site_fract_x
_atom_site_fract_y
_atom_site_fract_z
Tm1 Tm 0.000 0.000 0.000
Tm2 Tm 0.217 0.054 0.722
Pb1 Pb 0.500 0.000 0.500
O1 O 0.101 0.168 0.457
O2 O 0.188 0.676 0.388
O3 O 0.405 0.092 0.244
# * ΔE_f (raw): -2.810 eV/atom

Record 2
# PRuPt3 (GGA-PBE, relaxed)
data_PRuPt3
_cell_length_a 4.765
_cell_length_b 4.765
_cell_length_c 4.765
_cell_angle_alpha 90.00
_cell_angle_beta 90.00
_cell_angle_gamma 90.00
_symmetry_space_group_name_H-M 'P m -3 m'
_symmetry_Int_Tables_number 221
_symmetry_space_group_name_Hall '-P 4 2 3'
loop_
_atom_site_label
_atom_site_type_symbol
_atom_site_fract_x
_atom_site_fract_y
_atom_site_fract_z
P1 P 0.000 0.000 0.000
Ru1 Ru 0.500 0.500 0.500
Pt1 Pt 0.000 0.500 0.500
# * energy relative to the elements: 1.6098 eV per atom

Record 3
# SbAsP2 (GGA-PBE, relaxed)
data_SbAsP2
_cell_length_a 6.700
_cell_length_b 6.700
_cell_length_c 6.700
_cell_angle_alpha 90.00
_cell_angle_beta 90.00
_cell_angle_gamma 90.00
_symmetry_space_group_name_H-M 'F -4 3 m'
_symmetry_Int_Tables_number 216
_symmetry_space_group_name_Hall 'F -4 2 3'
loop_
_atom_site_label
_atom_site_type_symbol
_atom_site_fract_x
_atom_site_fract_y
_atom_site_fract_z
Sb1 Sb 0.000 0.000 0.000
As1 As 0.250 0.250 0.750
P1 P 0.000 0.000 0.500
P2 P 0.250 0.250 0.250
# * ΔE_f (raw): 0.642 eV/atom

Record 4
# LiZrBr2 (GGA-PBE, relaxed)
data_LiZrBr2
_cell_length_a 3.501
_cell_length_b 3.512
_cell_length_c 14.813
_cell_angle_alpha 90.00
_cell_angle_beta 90.00
_cell_angle_gamma 90.00
_symmetry_space_group_name_H-M 'I m m 2'
_symmetry_Int_Tables_number 44
_symmetry_space_group_name_Hall 'I 2 -2'
loop_
_atom_site_label
_atom_site_type_symbol
_atom_site_fract_x
_atom_site_fract_y
_atom_site_fract_z
Li1 Li 0.000 0.000 0.000
Zr1 Zr 0.000 0.500 0.827
Br1 Br 0.000 0.000 0.479
Br2 Br 0.000 0.500 0.220
# * ΔE_f (raw): -0.717 eV/atom

Record 5
# Be2SbTe (GGA-PBE, relaxed)
data_Be2SbTe
_cell_length_a 3.659
_cell_length_b 3.669
_cell_length_c 6.032
_cell_angle_alpha 90.00
_cell_angle_beta 90.00
_cell_angle_gamma 90.00
_symmetry_space_group_name_H-M 'P m m m'
_symmetry_Int_Tables_number 47
_symmetry_space_group_name_Hall '-P 2 2'
loop_
_atom_site_label
_atom_site_type_symbol
_atom_site_fract_x
_atom_site_fract_y
_atom_site_fract_z
Be1 Be 0.000 0.000 0.000
Be2 Be 0.500 0.000 0.500
Sb1 Sb 0.000 0.500 0.500
Te1 Te 0.500 0.500 0.000
# * ΔE_f (raw): 0.599 eV/atom

Record 6
# Ca3CuHg (GGA-PBE, relaxed)
data_Ca3CuHg
_cell_length_a 8.235
_cell_length_b 4.316
_cell_length_c 8.696
_cell_angle_alpha 90.00
_cell_angle_beta 109.69
_cell_angle_gamma 90.00
_symmetry_space_group_name_H-M 'P 1 21/m 1'
_symmetry_Int_Tables_number 11
_symmetry_space_group_name_Hall '-P 2yb'
loop_
_atom_site_label
_atom_site_type_symbol
_atom_site_fract_x
_atom_site_fract_y
_atom_site_fract_z
Ca1 Ca 0.074 0.250 0.232
Ca2 Ca 0.311 0.250 0.926
Ca3 Ca 0.346 0.750 0.585
Cu1 Cu 0.052 0.250 0.572
Hg1 Hg 0.356 0.750 0.205
# * energy relative to the elements: -0.2981 eV per atom

Record 7
# La2CdIr (GGA-PBE, relaxed)
data_La2CdIr
_cell_length_a 13.918
_cell_length_b 5.581
_cell_length_c 6.545
_cell_angle_alpha 90.00
_cell_angle_beta 106.03
_cell_angle_gamma 90.00
_symmetry_space_group_name_H-M 'C 1 2/m 1'
_symmetry_Int_Tables_number 12
_symmetry_space_group_name_Hall '-C 2y'
loop_
_atom_site_label
_atom_site_type_symbol
_atom_site_fract_x
_atom_site_fract_y
_atom_site_fract_z
La1 La 0.069 0.000 0.284
La2 La 0.162 0.500 0.829
Cd1 Cd 0.217 0.500 0.359
Ir1 Ir 0.131 0.000 0.870
# * energy relative to the elements: -0.5123 eV per atom

Record 8
# YPu2Ni (GGA-PBE, relaxed)
data_YPu2Ni
_cell_length_a 3.4547
_cell_length_b 3.4547
_cell_length_c 30.1226
_cell_angle_alpha 90.00
_cell_angle_beta 90.00
_cell_angle_gamma 120.00
_symmetry_space_group_name_H-M 'R -3 m'
_symmetry_Int_Tables_number 166
_symmetry_space_group_name_Hall '-R 3 2"'
loop_
_atom_site_label
_atom_site_type_symbol
_atom_site_fract_x
_atom_site_fract_y
_atom_site_fract_z
Y1 Y 0.0000 0.0000 0.0000
Pu1 Pu 0.0000 0.0000 0.1051
Ni1 Ni 0.0000 0.0000 0.5000
# * energy relative to the elements: 0.3184 eV per atom

Record 9
# Dy6NiS5 (GGA-PBE, relaxed)
data_Dy6NiS5
_cell_length_a 6.804
_cell_length_b 11.769
_cell_length_c 6.785
_cell_angle_alpha 90.00
_cell_angle_beta 109.67
_cell_angle_gamma 90.00
_symmetry_space_group_name_H-M 'C 1 2/m 1'
_symmetry_Int_Tables_number 12
_symmetry_space_group_name_Hall '-C 2y'
loop_
_atom_site_label
_atom_site_type_symbol
_atom_site_fract_x
_atom_site_fract_y
_atom_site_fract_z
Dy1 Dy 0.242 0.163 0.243
Dy2 Dy 0.244 0.000 0.754
Ni1 Ni 0.000 0.000 0.000
S1 S 0.000 0.173 0.500
S2 S 0.000 0.335 0.000
S3 S 0.000 0.500 0.500
# * ΔE_f (raw): -1.740 eV/atom

Number 1: spin magnetization 0.003 μB per cell, energy -149.94 eV/cell. Number 2: spin magnetization 0.000 μB per cell, energy -24.76 eV/cell. Number 3: spin magnetization 0.000 μB per cell, energy -68.10 eV/cell. Number 4: spin magnetization 0.000 μB per cell, energy -33.35 eV/cell. Number 5: spin magnetization 0.000 μB per cell, energy -12.32 eV/cell. Number 6: spin magnetization 0.000 μB per cell, energy -23.79 eV/cell. Number 7: spin magnetization 0.000 μB per cell, energy -86.72 eV/cell. Number 8: spin magnetization 33.696 μB per cell, energy -118.91 eV/cell. Number 9: spin magnetization 0.000 μB per cell, energy -149.82 eV/cell.